[1]
Density functional theory data (GGA-PBE) for a relaxed LiTa2Ni crystal.

**Energy of formation from the pure elements**: 0.244 eV/atom
**Excess energy over the best structure of this formula in the dataset**: 144 meV/atom
**Total magnetization**: 0.00 μB per cell

Cell lengths 9.694, 9.694, 9.694 Å; angles 16.66, 16.66, 16.66 degrees
Element x y z (fractional)
Ta 0.492 0.492 0.492
Ta 0.008 0.008 0.008
Ni 0.750 0.750 0.750
Li 0.250 0.250 0.250

[2]
Density functional theory data (GGA-PBE) for a relaxed LiTa2Ni crystal.

**Energy of formation from the pure elements**: 0.198 eV/atom
**Excess energy over the best structure of this formula in the dataset**: 98 meV/atom
**Total magnetization**: 0.00 μB per cell

Cell lengths 2.723, 2.723, 8.914 Å; angles 90.00, 90.00, 100.00 degrees
Element x y z (fractional)
Li 0.500 0.500 0.250
Ta 0.000 0.000 0.965
Ta 0.000 0.000 0.535
Ni 0.500 0.500 0.750

[3]
Density functional theory data (GGA-PBE) for a relaxed Li2TaNi crystal.

**Energy of formation from the pure elements**: 0.620 eV/atom
**Excess energy over the best structure of this formula in the dataset**: 510 meV/atom
**Total magnetization**: 0.00 μB per cell

Cell lengths 4.268, 4.268, 2.953 Å; angles 90.00, 90.00, 90.00 degrees
Element x y z (fractional)
Li 0.000 0.000 0.000
Li 0.500 0.500 0.000
Ni 0.500 0.000 0.500
Ta 0.000 0.500 0.500

[4]
Density functional theory data (GGA-PBE) for a relaxed Li3TaNi crystal.

**Energy of formation from the pure elements**: 1.843 eV/atom
**Excess energy over the best structure of this formula in the dataset**: 897 meV/atom
**Total magnetization**: 3.56 μB per cell

Cell lengths 4.955, 4.955, 4.955 Å; angles 90.00, 90.00, 90.00 degrees
Each line ends with the local moment (μB).
Element x y z (fractional)
Li 0.000 0.500 0.000  0.05
Li 0.000 0.000 0.500  0.04
Li 0.500 0.000 0.000  0.07
Ni 0.500 0.500 0.500  -0.72
Ta 0.000 0.000 0.000  2.33

[5]
Density functional theory data (GGA-PBE) for a relaxed LiTa2Ni crystal.

**Energy of formation from the pure elements**: 0.274 eV/atom
**Excess energy over the best structure of this formula in the dataset**: 174 meV/atom
**Total magnetization**: 0.00 μB per cell

Cell lengths 3.134, 3.134, 5.984 Å; angles 90.00, 90.00, 90.00 degrees
Element x y z (fractional)
Ta 0.000 0.000 0.501
Ta 0.000 0.000 0.999
Li 0.500 0.500 0.250
Ni 0.500 0.500 0.750

[6]
Density functional theory data (GGA-PBE) for a relaxed Li2TaNi crystal.

**Energy of formation from the pure elements**: 0.168 eV/atom
**Excess energy over the best structure of this formula in the dataset**: 58 meV/atom
**Total magnetization**: 0.00 μB per cell

Cell lengths 4.797, 2.653, 4.565 Å; angles 87.08, 90.00, 90.00 degrees
Element x y z (fractional)
Ni 0.500 0.250 0.250
Li 0.000 0.432 0.486
Li 0.000 0.068 0.014
Ta 0.500 0.750 0.750